1.
## K5TaO4F2 (PBE)

Data for crystalline K5TaO4F2 at its relaxed geometry.

Results
V = 21.0 Å³ per atom
E_tot = -5.82 eV/atom
Calculated density = 3.1 g cm⁻³

a = 6.3226 Å, b = 6.0772 Å, c = 7.6919 Å
α = 90.00°, β = 90.00°, γ = 121.34°
Fractional positions:
1 K 0.7122 0.6294 0.2423
2 O 0.5899 0.0000 0.8031
3 O 0.3868 0.2933 0.0000
4 K 0.0828 0.3706 0.7577
5 O 0.0935 0.7067 0.0000
6 Ta 0.4145 0.0000 0.0000
7 K 0.7122 0.6294 0.7577
8 F 0.9647 0.5958 0.5000
9 O 0.5899 0.0000 0.1969
10 K 0.4077 0.0000 0.5000
11 F 0.3689 0.4042 0.5000
12 K 0.0828 0.3706 0.2423


2.
## KTaO2F (PBE)

Data for crystalline KTaO2F at its relaxed geometry.

Results
V = 13.9 Å³ per atom
E_tot = -7.44 eV/atom
Calculated density = 6.5 g cm⁻³

a = 4.0268 Å, b = 4.0268 Å, c = 4.2932 Å
α = 90.00°, β = 90.00°, γ = 90.00°
Each line ends with the local moment (μB).
Fractional positions:
1 K 0.5000 0.5000 0.5000  0.00
2 O 0.5000 0.0000 0.0000  -0.01
3 O 0.0000 0.5000 0.0000  -0.01
4 F 0.0000 0.0000 0.5000  0.01
5 Ta 0.0000 0.0000 0.0000  0.43


- Which of these has the highest E_tot?
  K5TaO4F2


- Number 1 is which compound?
  K5TaO4F2


- V of number 2 (KTaO2F)?
  13.9 Å³ per atom